Entry from the Alexandria database: crystalline MoOs3Pt at its relaxed geometry (GGA-PBE).

Unit cell a=4.6710 b=4.6710 c=4.6710 alpha=90.00 beta=90.00 gamma=90.00
With the nearest neighbours (Å) after each atom.
Space group Pm-3m (No. 221)
One atom of each set of equivalent atoms:
Mo  0.0000  0.0000  0.0000 (multiplicity 1)  12 Os 3.30
Os  0.0000  0.5000  0.5000 (multiplicity 3)  2 Pt 2.34
Pt  0.5000  0.5000  0.5000 (multiplicity 1)  6 Os 2.34

Values from the calculation:
The crystal system is cubic. The density comes out at 14.04 g/cm3. The final energy comes out at -7.318 eV/atom. The value obtained for the density of states at the Fermi level is 10.62 states/eV/f.u.